VASP calculation (PBE with a Hubbard U) on a relaxed ZnFeAs2O8 crystal.

a = 6.6265 Å, b = 6.6265 Å, c = 6.3022 Å
α = 90.00°, β = 90.00°, γ = 90.00°
With the nearest neighbours (Å) after each atom.
Space group I-4m2 (No. 119)
Asymmetric unit:
Zn: 0.0000 0.0000 0.0000 x2  4 O 2.09
Fe: 0.0000 0.5000 0.7500 x2  4 O 2.06
As: 0.0000 0.0000 0.5000 x2  4 O 1.72
As: 0.0000 0.5000 0.2500 x2  4 O 1.72
O: 0.0000 0.1974 0.6771 x8  1 As 1.72
O: 0.0000 0.3094 0.0636 x8  1 As 1.72

total DFT energy (no corrections): -136.373 eV per cell
theoretical density: 4.79 g cm⁻³